No. 1
DFT (PBE) results for an optimized crystal structure of SrMg.

## Properties
ΔH_f (0 K): 0.0329 eV/atom

Unit cell a=13.2209 b=4.1417 c=8.7096 alpha=90.00 beta=107.66 gamma=90.00
With the nearest neighbours (Å) after each atom.
Space group Cm (No. 8)
One atom of each set of equivalent atoms:
Sr (0.0000, 0.0000, 0.0000) x2  5 Mg 3.51-3.62
Sr (0.1292, 0.5000, 0.4383) x2  5 Mg 3.50-3.63
Sr (0.3146, 0.0000, 0.2189) x2  4 Mg 3.75, 8 Sr 4.01-4.14
Mg (0.1774, 0.5000, 0.8566) x2  2 Mg 3.21, 1 Sr 3.50
Mg (0.3146, 0.0000, 0.7199) x2  4 Mg 3.21, 4 Sr 3.55-3.56
Mg (0.4510, 0.5000, 0.5811) x2  2 Mg 3.21, 1 Sr 3.51

No. 2
DFT (PBE) results for an optimized crystal structure of SrMg5.

## Properties
ΔH_f (0 K): 0.0031 eV/atom

Unit cell a=3.7328 b=3.7328 c=11.6501 alpha=90.00 beta=90.00 gamma=90.00
With the nearest neighbours (Å) after each atom.
Space group P4/mmm (No. 123)
One atom of each set of equivalent atoms:
Sr (0.0000, 0.0000, 0.0000) x1  8 Mg 3.61, 4 Sr 3.73
Mg (0.0000, 0.0000, 0.3555) x2  9 Mg 3.13-3.37
Mg (0.5000, 0.5000, 0.2108) x2  5 Mg 3.13-3.37
Mg (0.5000, 0.5000, 0.5000) x1  10 Mg 3.13-3.37

No. 3
DFT (PBE) results for an optimized crystal structure of Sr4Mg.

## Properties
ΔH_f (0 K): 0.3126 eV/atom

Unit cell a=4.9559 b=4.9559 c=21.2391 alpha=90.00 beta=90.00 gamma=90.00
With the nearest neighbours (Å) after each atom.
Space group I4/mmm (No. 139)
One atom of each set of equivalent atoms:
Sr (0.0000, 0.0000, 0.0891) x4  5 Sr 3.79-4.22, 4 Mg 3.98
Sr (0.0000, 0.5000, 0.2500) x4  4 Sr 3.50
Mg (0.0000, 0.0000, 0.5000) x2  8 Sr 3.98